[1]
First-principles (PBE) data for crystalline Cd4BiPb2 at its relaxed geometry, as listed in Alexandria.

Geometry as POSCAR:
```
Cd4BiPb2
1.0
5.3182 -2.9882 0.0000
5.3182 2.9882 0.0000
0.0000 0.0000 12.0305
Cd Bi Pb
8 2 4
Direct
0.1197 0.3803 0.7500
0.1254 0.8746 0.7597
0.3746 0.6254 0.2597
0.3803 0.1197 0.2500
0.6197 0.8803 0.7500
0.6254 0.3746 0.7403
0.8746 0.1254 0.2403
0.8803 0.6197 0.2500
0.0000 0.0000 0.5000
0.5000 0.5000 0.0000
0.1641 0.1641 0.0000
0.3359 0.3359 0.5000
0.6641 0.6641 0.5000
0.8359 0.8359 0.0000
```

Symmetry: Cmce, No. 64
Total moment in μB per formula unit: 0.00
Energy above the lowest structure with this stoichiometry in eV per atom: 0.000

---

[2]
First-principles (PBE) data for crystalline BeZn2Cl at its relaxed geometry, as listed in Alexandria.

Geometry as POSCAR:
```
BeZn2Cl
1.0
2.9603 0.0000 0.0000
0.0000 5.4669 0.0000
-0.0602 0.0000 4.2283
Be Zn Cl
1 2 1
Direct
0.0000 0.0000 0.0000
0.2551 0.5000 0.2472
0.7449 0.5000 0.7528
0.0000 0.0000 0.5000
```

Symmetry: P2/m, No. 10
Total moment in μB per formula unit: 0.00
Formation energy (no corrections) in eV per atom: 0.25
Energy above the lowest structure with this stoichiometry in eV per atom: 0.342

---

[3]
First-principles (PBE) data for crystalline Co3IrOs at its relaxed geometry, as listed in Alexandria.

Geometry as POSCAR:
```
Co3IrOs
1.0
4.3622 0.0000 0.0000
0.0000 4.3622 0.0000
0.0000 0.0000 4.3622
Co Ir Os
3 1 1
Direct
0.0000 0.0000 0.5000
0.0000 0.5000 0.0000
0.5000 0.0000 0.0000
0.5000 0.5000 0.5000
0.0000 0.0000 0.0000
```

Symmetry: Pm-3m, No. 221
Total moment in μB per formula unit: 3.13
Energy above the lowest structure with this stoichiometry in eV per atom: 0.000

---

[4]
First-principles (PBE) data for crystalline Pm5ErTl2 at its relaxed geometry, as listed in Alexandria.

Geometry as POSCAR:
```
Pm5ErTl2
1.0
5.5264 0.0000 0.0000
-2.7632 4.7860 0.0000
0.0000 0.0000 20.3458
Pm Er Tl
10 2 4
Direct
0.0000 0.0000 0.1621
0.0000 0.0000 0.3379
0.0000 0.0000 0.6621
0.0000 0.0000 0.8379
0.3333 0.6667 0.0607
0.3333 0.6667 0.2500
0.3333 0.6667 0.4393
0.6667 0.3333 0.5607
0.6667 0.3333 0.7500
0.6667 0.3333 0.9393
0.3333 0.6667 0.7500
0.6667 0.3333 0.2500
0.3333 0.6667 0.5974
0.3333 0.6667 0.9026
0.6667 0.3333 0.0974
0.6667 0.3333 0.4026
```

Symmetry: P6_3/mmc, No. 194
Total moment in μB per formula unit: 0.00
Energy above the lowest structure with this stoichiometry in eV per atom: 0.034